First-principles (GGA+U) data for crystalline Rb2CrPd3F12 at its relaxed geometry, as listed in the Alexandria database.

a b c (Å): 9.1429 9.1429 9.1429
angles (deg): 41.93 41.93 41.93
Fractional positions:
1 Rb 0.3714 0.3714 0.3714
2 Rb 0.6286 0.6286 0.6286
3 F 0.3141 0.9062 0.9062
4 F 0.0938 0.6859 0.0938
5 F 0.3501 0.9104 0.3501
6 F 0.9104 0.3501 0.3501
7 F 0.3501 0.3501 0.9104
8 F 0.6499 0.6499 0.0896
9 F 0.0938 0.0938 0.6859
10 F 0.6499 0.0896 0.6499
11 F 0.9062 0.9062 0.3141
12 F 0.0896 0.6499 0.6499
13 F 0.9062 0.3141 0.9062
14 F 0.6859 0.0938 0.0938
15 Pd 0.0000 0.0000 0.5000
16 Pd 0.0000 0.5000 0.0000
17 Pd 0.5000 0.0000 0.0000
18 Cr 0.0000 0.0000 0.0000

Results
For the uncorrected energy, the calculation gives -81.7 eV for the cell shown. As for the space group: R-3m, No. 166.



First-principles (GGA+U) data for crystalline CrPd2SF at its relaxed geometry, as listed in the Alexandria database.

a b c (Å): 4.4934 4.3534 4.4934
angles (deg): 90.00 90.00 90.00
Fractional positions:
1 S 0.0000 0.0000 0.0000
2 Pd 0.0000 0.0000 0.5000
3 Pd 0.5000 0.0000 0.0000
4 Cr 0.5000 0.5000 0.5000
5 F 0.0000 0.5000 0.0000

Results
For the uncorrected energy, the calculation gives -24.7 eV for the cell shown. The density of states at the Fermi level comes out at 3.1 states/eV per cell. As for the space group: P4/mmm, No. 123.



Q: What is the formula in the first record?
A: Rb2CrPd3F12